# 1
Entry from Alexandria via LeMat-Bulk: a PBEsol-optimized structure of Re2MoPb (meta-GGA SCAN).

a = 5.456 Å, b = 8.098 Å, c = 3.007 Å
α = 90.00°, β = 90.00°, γ = 90.00°
Space group Cmmm (No. 65)
Inequivalent atoms, fractional coordinates:
Re1 0.250 0.250 0.000
Mo1 0.000 0.000 0.500
Pb1 0.000 0.500 0.500

Properties
The total DFT energy (no corrections) is -497.9 eV/cell. The formation energy comes out at 378 kJ/mol of formula units.

***

# 2
Entry from Alexandria via LeMat-Bulk: a PBEsol-optimized structure of SbPb3I (meta-GGA SCAN).

a = 5.921 Å, b = 5.921 Å, c = 5.921 Å
α = 90.00°, β = 90.00°, γ = 90.00°
Space group Pm-3m (No. 221)
Inequivalent atoms, fractional coordinates:
Sb1 0.000 0.000 0.000
Pb1 0.000 0.000 0.500
I1 0.500 0.500 0.500

Properties
The total DFT energy (no corrections) is -299.4 eV/cell. Its formation energy from raw total energies is 190 kJ/mol of formula units.

***

# 3
Entry from Alexandria via LeMat-Bulk: a PBEsol-optimized structure of LiCd2In (meta-GGA SCAN).

a = 6.027 Å, b = 10.263 Å, c = 3.098 Å
α = 90.00°, β = 119.28°, γ = 90.00°
Space group C2/m (No. 12)
Inequivalent atoms, fractional coordinates:
Li1 0.000 0.000 0.000
Cd1 0.250 0.250 0.000
In1 0.000 0.500 0.000

Properties
The total DFT energy (no corrections) is -194.3 eV/cell. The formation energy comes out at -51 kJ/mol of formula units.

***

# 4
Entry from Alexandria via LeMat-Bulk: a PBEsol-optimized structure of Sr2CuF6 (meta-GGA SCAN).

a = 5.701 Å, b = 5.701 Å, c = 16.307 Å
α = 90.00°, β = 90.00°, γ = 90.00°
Space group P-4b2 (No. 117)
Inequivalent atoms, fractional coordinates:
Sr1 0.000 0.000 0.162
Sr2 0.000 0.500 0.338
Cu1 0.000 0.000 0.500
Cu2 0.000 0.500 0.000
F1 0.167 0.333 0.081
F2 0.174 0.175 0.580
F3 0.244 0.750 0.750

Properties
The total DFT energy (no corrections) is -444.9 eV/cell. Its formation energy from raw total energies is -2917 kJ/mol of formula units. The value obtained for the distance to the lowest polymorph of the same formula is 0.059 eV/atom.

***

# 5
Entry from Alexandria via LeMat-Bulk: a PBEsol-optimized structure of TlSi3Os (meta-GGA SCAN).

a = 4.884 Å, b = 4.884 Å, c = 4.884 Å
α = 90.00°, β = 90.00°, γ = 90.00°
Space group Pm-3m (No. 221)
Inequivalent atoms, fractional coordinates:
Tl1 0.000 0.000 0.000
Si1 0.000 0.000 0.500
Os1 0.500 0.500 0.500

Properties
The total DFT energy (no corrections) is -161.3 eV/cell. Its formation energy from raw total energies is 1254 kJ/mol of formula units.

***

# 6
Entry from Alexandria via LeMat-Bulk: a PBEsol-optimized structure of UCl4 (meta-GGA SCAN).

a = 8.214 Å, b = 8.214 Å, c = 7.436 Å
α = 90.00°, β = 90.00°, γ = 90.00°
Space group I4_1/amd (No. 141, origin choice 2)
Inequivalent atoms, fractional coordinates:
U1 0.000 0.250 0.375
Cl1 0.000 0.063 0.696

Properties
The total DFT energy (no corrections) is -579.6 eV/cell. Its formation energy from raw total energies is -913 kJ/mol of formula units.

***

# 7
Entry from Alexandria via LeMat-Bulk: a PBEsol-optimized structure of CoIr3 (meta-GGA SCAN).

a = 2.682 Å, b = 2.682 Å, c = 7.332 Å
α = 90.00°, β = 90.00°, γ = 90.00°
Space group P4/mmm (No. 123)
Inequivalent atoms, fractional coordinates:
Co1 0.000 0.000 0.000
Ir1 0.000 0.000 0.500
Ir2 0.500 0.500 0.238

Properties
The total DFT energy (no corrections) is -230.5 eV/cell. The formation energy comes out at 8 kJ/mol of formula units.

***

# 8
Entry from Alexandria via LeMat-Bulk: a PBEsol-optimized structure of Mg2TlCd (meta-GGA SCAN).

a = 6.621 Å, b = 8.163 Å, c = 3.281 Å
α = 90.00°, β = 90.00°, γ = 90.00°
Space group Cmmm (No. 65)
Inequivalent atoms, fractional coordinates:
Mg1 0.250 0.250 0.000
Tl1 0.000 0.000 0.500
Cd1 0.000 0.500 0.500

Properties
The total DFT energy (no corrections) is -226.5 eV/cell. The formation energy comes out at -51 kJ/mol of formula units.